# 1
Below is a geometry-optimized Ba3Sr structure, with properties calculated at the PBE level.

Computed properties:
Final energy: -1.85 eV per atom
Formation energy from the elements: 0.02 eV/atom
M_tot: 0.00 μB per formula unit
Distance to the lowest polymorph of the same formula: 6 kJ/mol of formula units

Geometry as CIF:
```
data_Ba3Sr
_chemical_formula_sum 'Ba3 Sr1'
_symmetry_space_group_name_H-M 'P 1'
_symmetry_Int_Tables_number 1
_cell_length_a 4.406
_cell_length_b 4.406
_cell_length_c 14.544
_cell_angle_alpha 90.00
_cell_angle_beta 90.00
_cell_angle_gamma 120.00
loop_
_symmetry_equiv_pos_as_xyz
'x,y,z'
loop_
_atom_site_label
_atom_site_type_symbol
_atom_site_fract_x
_atom_site_fract_y
_atom_site_fract_z
Ba1 Ba 0.000 0.000 0.503
Ba2 Ba 0.000 0.000 0.997
Ba3 Ba 0.667 0.333 0.250
Sr1 Sr 0.667 0.333 0.750
```

***

# 2
Below is a geometry-optimized Ba3Sr structure, with properties calculated at the PBE level.

Computed properties:
Final energy: -1.85 eV per atom
Formation energy from the elements: 0.01 eV/atom
M_tot: 0.00 μB per formula unit
Distance to the lowest polymorph of the same formula: 5 kJ/mol of formula units

Geometry as CIF:
```
data_Ba3Sr
_chemical_formula_sum 'Ba3 Sr1'
_symmetry_space_group_name_H-M 'P 1'
_symmetry_Int_Tables_number 1
_cell_length_a 4.405
_cell_length_b 7.267
_cell_length_c 7.640
_cell_angle_alpha 90.00
_cell_angle_beta 90.00
_cell_angle_gamma 90.00
loop_
_symmetry_equiv_pos_as_xyz
'x,y,z'
loop_
_atom_site_label
_atom_site_type_symbol
_atom_site_fract_x
_atom_site_fract_y
_atom_site_fract_z
Ba1 Ba 0.000 0.000 0.001
Ba2 Ba 0.500 0.000 0.499
Ba3 Ba 0.500 0.500 0.833
Sr1 Sr 0.000 0.500 0.334
```

***

# 3
Below is a geometry-optimized BaSr3 structure, with properties calculated at the PBE level.

Computed properties:
Final energy: -1.74 eV per atom
Formation energy from the elements: 0.01 eV/atom
M_tot: 0.00 μB per formula unit
Distance to the lowest polymorph of the same formula: 2 kJ/mol of formula units

Geometry as CIF:
```
data_BaSr3
_chemical_formula_sum 'Ba1 Sr3'
_symmetry_space_group_name_H-M 'P 1'
_symmetry_Int_Tables_number 1
_cell_length_a 4.299
_cell_length_b 4.305
_cell_length_c 14.318
_cell_angle_alpha 98.54
_cell_angle_beta 90.00
_cell_angle_gamma 119.95
loop_
_symmetry_equiv_pos_as_xyz
'x,y,z'
loop_
_atom_site_label
_atom_site_type_symbol
_atom_site_fract_x
_atom_site_fract_y
_atom_site_fract_z
Ba1 Ba 0.000 0.000 0.000
Sr1 Sr 0.247 0.495 0.745
Sr2 Sr 0.500 0.000 0.500
Sr3 Sr 0.753 0.505 0.255
```

***

# 4
Below is a geometry-optimized Ba3Sr structure, with properties calculated at the PBE level.

Computed properties:
Final energy: -1.86 eV per atom
Formation energy from the elements: 0.01 eV/atom
M_tot: 0.00 μB per formula unit
Distance to the lowest polymorph of the same formula: 3 kJ/mol of formula units

Geometry as CIF:
```
data_Ba3Sr
_chemical_formula_sum 'Ba3 Sr1'
_symmetry_space_group_name_H-M 'P 1'
_symmetry_Int_Tables_number 1
_cell_length_a 7.010
_cell_length_b 7.010
_cell_length_c 7.010
_cell_angle_alpha 60.00
_cell_angle_beta 60.00
_cell_angle_gamma 60.00
loop_
_symmetry_equiv_pos_as_xyz
'x,y,z'
loop_
_atom_site_label
_atom_site_type_symbol
_atom_site_fract_x
_atom_site_fract_y
_atom_site_fract_z
Ba1 Ba 0.250 0.250 0.250
Ba2 Ba 0.500 0.500 0.500
Ba3 Ba 0.000 0.000 0.000
Sr1 Sr 0.750 0.750 0.750
```

***

# 5
Below is a geometry-optimized Ba5Sr3 structure, with properties calculated at the PBE level.

Computed properties:
Final energy: -1.83 eV per atom
Formation energy from the elements: 0.00 eV/atom
M_tot: 0.00 μB per formula unit
Distance to the lowest polymorph of the same formula: 2 kJ/mol of formula units

Geometry as CIF:
```
data_Ba5Sr3
_chemical_formula_sum 'Ba5 Sr3'
_symmetry_space_group_name_H-M 'P 1'
_symmetry_Int_Tables_number 1
_cell_length_a 4.952
_cell_length_b 6.930
_cell_length_c 13.870
_cell_angle_alpha 90.00
_cell_angle_beta 90.00
_cell_angle_gamma 90.00
loop_
_symmetry_equiv_pos_as_xyz
'x,y,z'
loop_
_atom_site_label
_atom_site_type_symbol
_atom_site_fract_x
_atom_site_fract_y
_atom_site_fract_z
Sr1 Sr 0.000 0.500 0.746
Sr2 Sr 0.500 0.500 0.503
Sr3 Sr 0.500 0.000 0.751
Ba1 Ba 0.000 0.000 0.997
Ba2 Ba 0.500 0.500 0.995
Ba3 Ba 0.000 0.000 0.505
Ba4 Ba 0.500 0.000 0.252
Ba5 Ba 0.000 0.500 0.252
```

***

# 6
Below is a geometry-optimized Ba11Sr3 structure, with properties calculated at the PBE level.

Computed properties:
Final energy: -1.80 eV per atom
Formation energy from the elements: 0.07 eV/atom
M_tot: 0.42 μB per formula unit

Geometry as CIF:
```
data_Ba11Sr3
_chemical_formula_sum 'Ba11 Sr3'
_symmetry_space_group_name_H-M 'P 1'
_symmetry_Int_Tables_number 1
_cell_length_a 4.401
_cell_length_b 14.355
_cell_length_c 14.356
_cell_angle_alpha 81.59
_cell_angle_beta 81.18
_cell_angle_gamma 81.18
loop_
_symmetry_equiv_pos_as_xyz
'x,y,z'
loop_
_atom_site_label
_atom_site_type_symbol
_atom_site_fract_x
_atom_site_fract_y
_atom_site_fract_z
Ba1 Ba 0.500 0.270 0.730
Ba2 Ba 0.355 0.254 0.035
Ba3 Ba 0.828 0.481 0.863
Ba4 Ba 0.500 0.730 0.270
Ba5 Ba 0.172 0.519 0.137
Ba6 Ba 0.172 0.137 0.519
Ba7 Ba 0.645 0.746 0.965
Ba8 Ba 0.645 0.965 0.746
Ba9 Ba 0.828 0.863 0.481
Ba10 Ba 0.355 0.035 0.254
Ba11 Ba 0.000 0.500 0.500
Sr1 Sr 0.000 0.000 0.000
Sr2 Sr 0.698 0.302 0.302
Sr3 Sr 0.302 0.698 0.698
```

***

# 7
Below is a geometry-optimized Ba2Sr3 structure, with properties calculated at the PBE level.

Computed properties:
Final energy: -1.63 eV per atom
Formation energy from the elements: 0.15 eV/atom
M_tot: 0.00 μB per formula unit
Distance to the lowest polymorph of the same formula: 64 kJ/mol of formula units

Geometry as CIF:
```
data_Ba2Sr3
_chemical_formula_sum 'Ba8 Sr12'
_symmetry_space_group_name_H-M 'P 1'
_symmetry_Int_Tables_number 1
_cell_length_a 8.215
_cell_length_b 14.767
_cell_length_c 10.122
_cell_angle_alpha 90.00
_cell_angle_beta 90.00
_cell_angle_gamma 90.00
loop_
_symmetry_equiv_pos_as_xyz
'x,y,z'
loop_
_atom_site_label
_atom_site_type_symbol
_atom_site_fract_x
_atom_site_fract_y
_atom_site_fract_z
Sr1 Sr 0.999 0.654 0.371
Sr2 Sr 0.497 0.750 0.500
Sr3 Sr 0.003 0.250 0.000
Sr4 Sr 0.499 0.654 0.129
Sr5 Sr 0.501 0.154 0.129
Sr6 Sr 0.499 0.846 0.871
Sr7 Sr 0.001 0.154 0.371
Sr8 Sr 0.001 0.346 0.629
Sr9 Sr 0.999 0.846 0.629
Sr10 Sr 0.997 0.750 0.000
Sr11 Sr 0.501 0.346 0.871
Sr12 Sr 0.503 0.250 0.500
Ba1 Ba 0.249 0.923 0.248
Ba2 Ba 0.749 0.577 0.748
Ba3 Ba 0.251 0.423 0.252
Ba4 Ba 0.751 0.077 0.752
Ba5 Ba 0.749 0.923 0.252
Ba6 Ba 0.751 0.423 0.248
Ba7 Ba 0.251 0.077 0.748
Ba8 Ba 0.249 0.577 0.752
```

***

# 8
Below is a geometry-optimized Ba4Sr structure, with properties calculated at the PBE level.

Computed properties:
Final energy: -1.87 eV per atom
Formation energy from the elements: 0.00 eV/atom
M_tot: 0.00 μB per formula unit
Distance to the lowest polymorph of the same formula: 0 kJ/mol of formula units

Geometry as CIF:
```
data_Ba4Sr
_chemical_formula_sum 'Ba4 Sr1'
_symmetry_space_group_name_H-M 'P 1'
_symmetry_Int_Tables_number 1
_cell_length_a 7.027
_cell_length_b 7.027
_cell_length_c 8.228
_cell_angle_alpha 64.72
_cell_angle_beta 64.72
_cell_angle_gamma 60.00
loop_
_symmetry_equiv_pos_as_xyz
'x,y,z'
loop_
_atom_site_label
_atom_site_type_symbol
_atom_site_fract_x
_atom_site_fract_y
_atom_site_fract_z
Ba1 Ba 0.199 0.199 0.403
Ba2 Ba 0.400 0.400 0.801
Ba3 Ba 0.600 0.600 0.199
Ba4 Ba 0.801 0.801 0.597
Sr1 Sr 0.000 0.000 0.000
```

***

What is the formula in the fifth record?
Ba5Sr3